Entry 1:
## RbLaTc (GGA-PBE)

Data for a relaxed structure of RbLaTc.

Lattice parameters (Å, degrees): 7.1876 7.1876 7.1876 90.00 90.00 90.00
Closest atoms and distances in Å follow each position.
Space group F-43m (No. 216)
Unique sites:
Rb: 0.0000 0.0000 0.0000  4 La 3.11
La: 0.2500 0.2500 0.2500  4 Tc 3.11, 4 Rb 3.11
Tc: 0.0000 0.0000 0.5000  4 La 3.11



Entry 2:
## RbLaTh (GGA-PBE)

Data for a relaxed structure of RbLaTh.

Lattice parameters (Å, degrees): 8.0815 8.0815 8.0815 90.00 90.00 90.00
Closest atoms and distances in Å follow each position.
Space group F-43m (No. 216)
Unique sites:
Rb: 0.0000 0.0000 0.0000  4 La 3.50
La: 0.2500 0.2500 0.2500  4 Th 3.50, 4 Rb 3.50
Th: 0.0000 0.0000 0.5000  4 La 3.50



no.,raw total energy (eV per atom),excess energy over the best structure of this formula in the dataset (meV/atom)
1,-3.861,0.0
2,-3.077,0.0